No. 1
DFT (PBE) results for a geometry-optimized PrNd2FeN4 structure.

a = 6.2061 Å, b = 6.2061 Å, c = 12.0527 Å
α = 90.00°, β = 90.00°, γ = 147.24°
Atoms (fractional coordinates):
Pr 0.1216 0.8784 0.7500
Pr 0.8784 0.1216 0.2500
Nd 0.3675 0.6325 0.5441
Nd 0.3675 0.6325 0.9559
Nd 0.6325 0.3675 0.0441
Nd 0.6325 0.3675 0.4559
Fe 0.1613 0.8387 0.2500
Fe 0.8387 0.1613 0.7500
N 0.0000 0.0000 0.0000
N 0.0000 0.0000 0.5000
N 0.2703 0.7297 0.1356
N 0.2703 0.7297 0.3644
N 0.3980 0.6020 0.7500
N 0.6020 0.3980 0.2500
N 0.7297 0.2703 0.6356
N 0.7297 0.2703 0.8644

ΔE_f (raw) = -900.7 meV per atom
Total energy = -7.911 eV/atom
Symmetry = Cmcm, No. 63

***

No. 2
DFT (PBE) results for a geometry-optimized AcPm7Dy3 structure.

a = 7.2566 Å, b = 7.2566 Å, c = 8.7402 Å
α = 90.00°, β = 90.00°, γ = 120.00°
Atoms (fractional coordinates):
Ac 0.0000 0.0000 0.0000
Pm 0.0012 0.5006 0.9880
Pm 0.3333 0.6667 0.3213
Pm 0.3341 0.1671 0.3355
Pm 0.4994 0.5006 0.9880
Pm 0.4994 0.9988 0.9880
Pm 0.8329 0.1671 0.3355
Pm 0.8329 0.6659 0.3355
Dy 0.1683 0.3366 0.6570
Dy 0.1683 0.8317 0.6570
Dy 0.6634 0.8317 0.6570

Total energy = -4.451 eV/atom
Distance to the lowest polymorph of the same formula = 0.000 eV per atom
Symmetry = P3m1, No. 156

***

No. 3
DFT (PBE) results for a geometry-optimized TlPd2C structure.

a = 5.6980 Å, b = 5.6980 Å, c = 5.6980 Å
α = 107.49°, β = 107.49°, γ = 113.52°
Atoms (fractional coordinates):
Tl 0.0000 0.0000 0.0000
Tl 0.7500 0.2500 0.5000
Pd 0.2620 0.6250 0.1370
Pd 0.3750 0.5120 0.6370
Pd 0.4880 0.1250 0.8630
Pd 0.8750 0.7380 0.3630
C 0.2500 0.7500 0.5000
C 0.5000 0.5000 0.0000

Total energy = -4.991 eV/atom
Distance to the lowest polymorph of the same formula = 0.000 eV per atom
Symmetry = I-42d, No. 122

***

No. 4
DFT (PBE) results for a geometry-optimized Ca2LaCo structure.

a = 3.9383 Å, b = 16.8986 Å, c = 3.9376 Å
α = 90.00°, β = 90.00°, γ = 90.00°
Atoms (fractional coordinates):
Ca 0.0000 0.0809 0.0000
Ca 0.0000 0.7522 0.0008
Ca 0.5000 0.2478 0.5008
Ca 0.5000 0.9191 0.5000
La 0.0000 0.4178 0.0023
La 0.5000 0.5822 0.5023
Co 0.0000 0.5911 0.0026
Co 0.5000 0.4089 0.5026

Total energy = -3.973 eV/atom
Distance to the lowest polymorph of the same formula = 0.000 eV per atom
Symmetry = Pmn2_1, No. 31

***

Q: Among the records above, which one has the lowest total energy?
A: PrNd2FeN4

***

What did the second record say?
DFT (PBE) results for a geometry-optimized AcPm7Dy3 structure.

a = 7.2566 Å, b = 7.2566 Å, c = 8.7402 Å
α = 90.00°, β = 90.00°, γ = 120.00°
Atoms (fractional coordinates):
Ac 0.0000 0.0000 0.0000
Pm 0.0012 0.5006 0.9880
Pm 0.3333 0.6667 0.3213
Pm 0.3341 0.1671 0.3355
Pm 0.4994 0.5006 0.9880
Pm 0.4994 0.9988 0.9880
Pm 0.8329 0.1671 0.3355
Pm 0.8329 0.6659 0.3355
Dy 0.1683 0.3366 0.6570
Dy 0.1683 0.8317 0.6570
Dy 0.6634 0.8317 0.6570

Total energy = -4.451 eV/atom
Distance to the lowest polymorph of the same formula = 0.000 eV per atom
Symmetry = P3m1, No. 156